A relaxed structure of Pa2V3O8, computed with PBE+U.

energy: -8.86 eV per atom
calculated volume: 170.1 Å³/cell
calculated density: 7252 kg/m³

```
13
Lattice="-0.765 1.007 -5.038 -0.715 -5.707 -1.077 -5.707 -1.148 0.592" Properties=species:S:1:pos:R:3 pbc="T T T"
Pa -4.895 -4.217 -3.122
Pa -2.292 -1.631 -2.402
V -0.383 0.503 -2.519
V -1.911 -4.614 -0.677
V -4.511 -2.240 0.192
O -3.450 -2.289 -4.067
O -3.737 -3.559 -1.457
O -6.299 -5.224 -4.573
O -0.887 -0.624 -0.951
O -6.110 -2.344 -3.151
O -3.112 -5.081 -4.153
O -4.074 -0.767 -1.371
O -1.077 -3.504 -2.373
```